[1]
## Ho2TmCu4 (PBE)

Data for a geometry-optimized Ho2TmCu4 structure.

Lattice parameters (Å, degrees): 5.0473 5.0473 11.4453 90.00 90.00 90.00
Space group I4/mmm (No. 139)
Symmetry-distinct sites (fractional):
Ho (0.0000, 0.0000, 0.2131) [4 per cell]
Tm (0.0000, 0.0000, 0.5000) [2 per cell]
Cu (0.0000, 0.5000, 0.1161) [8 per cell]

N(E_F) = 11.55 states/eV/cell
Formation energy = -0.030 eV/atom

[2]
## TaInCu2 (PBE)

Data for a geometry-optimized TaInCu2 structure.

Lattice parameters (Å, degrees): 4.1999 4.1999 3.6200 90.00 90.00 90.00
Space group P4/mmm (No. 123)
Symmetry-distinct sites (fractional):
Ta (0.0000, 0.0000, 0.0000) [1 per cell]
In (0.5000, 0.5000, 0.0000) [1 per cell]
Cu (0.0000, 0.5000, 0.5000) [2 per cell]

N(E_F) = 3.21 states/eV/cell
Formation energy = 0.203 eV/atom